First-principles (PBE-GGA) data for a geometry-optimized NdDy7Er12 structure, as listed in Alexandria via LeMat-Bulk.

Values from the calculation:
E_tot   -256.727 eV/cell
Offset from the most stable computed form   0.000 eV per formula unit
Formation enthalpy at 0 K   308 meV per atom

Cell lengths 12.7399, 12.7399, 13.5183 Å; angles 90.00, 90.00, 120.00 degrees
With the nearest neighbours (Å) after each atom.
Space group R-3 (No. 148, hexagonal axes)
Asymmetric unit:
1 Nd 0.0000 0.0000 0.0000 (multiplicity 3)  6 Dy 3.04
2 Dy 0.0000 0.0000 0.5000 (multiplicity 3)  6 Er 3.06
3 Dy 0.0681 0.2025 0.8513 (multiplicity 18)  1 Nd 3.04, 1 Dy 3.05, 2 Er 3.05-3.36
4 Er 0.0044 0.5675 0.2464 (multiplicity 18)  3 Er 3.31-3.51, 3 Dy 3.36-3.54
5 Er 0.0681 0.8688 0.3450 (multiplicity 18)  2 Dy 3.05-3.06, 2 Er 3.08-3.31